1.
Entry from the Alexandria database: a relaxed structure of DyScMnAg (PBE-GGA).

a = 4.936 Å, b = 4.936 Å, c = 4.936 Å
α = 60.00°, β = 60.00°, γ = 60.00°
Fractional coordinates of all 4 atoms:
Dy 0.000 0.000 0.000
Sc 0.500 0.500 0.500
Mn 0.750 0.750 0.750
Ag 0.250 0.250 0.250

Its density of states at the Fermi level is 6.1 states/eV/cell. Its formation energy is 0.0060 eV/atom.

=====

2.
Entry from the Alexandria database: a relaxed structure of Dy2MnAg3Se6 (PBE-GGA).

a = 8.826 Å, b = 8.826 Å, c = 8.095 Å
α = 101.60°, β = 101.60°, γ = 26.60°
Fractional coordinates of all 12 atoms:
Dy 0.166 0.166 0.312
Dy 0.834 0.834 0.688
Mn 0.500 0.500 0.000
Ag 0.177 0.177 0.813
Ag 0.500 0.500 0.500
Ag 0.823 0.823 0.187
Se 0.004 0.004 0.785
Se 0.338 0.338 0.436
Se 0.341 0.341 0.936
Se 0.659 0.659 0.064
Se 0.662 0.662 0.564
Se 0.996 0.996 0.215

Its density of states at the Fermi level is 3.3 states/eV/cell. The uncorrected formation energy comes out at -0.836 eV per atom.

=====

3.
Entry from the Alexandria database: a relaxed structure of Dy3MnAg3Se8 (PBE-GGA).

a = 8.115 Å, b = 8.115 Å, c = 8.148 Å
α = 120.07°, β = 120.07°, γ = 60.00°
Fractional coordinates of all 15 atoms:
Dy 0.000 0.000 0.000
Dy 0.000 0.500 0.000
Dy 0.500 0.000 0.000
Mn 0.500 0.500 0.000
Ag 0.000 0.500 0.500
Ag 0.500 0.000 0.500
Ag 0.500 0.500 0.500
Se 0.248 0.248 0.242
Se 0.276 0.276 0.775
Se 0.276 0.722 0.775
Se 0.278 0.724 0.225
Se 0.722 0.276 0.775
Se 0.724 0.278 0.225
Se 0.724 0.724 0.225
Se 0.752 0.752 0.758

Its density of states at the Fermi level is 2.1 states/eV/cell. The uncorrected formation energy comes out at -0.971 eV per atom.

=====

4.
Entry from the Alexandria database: a relaxed structure of SmDyMnAg (PBE-GGA).

a = 5.140 Å, b = 5.140 Å, c = 5.140 Å
α = 60.00°, β = 60.00°, γ = 60.00°
Fractional coordinates of all 4 atoms:
Sm 0.000 0.000 0.000
Dy 0.500 0.500 0.500
Mn 0.250 0.250 0.250
Ag 0.750 0.750 0.750

Its density of states at the Fermi level is 4.0 states/eV/cell. Its formation energy is 0.0127 eV/atom.